Density functional theory data (GGA-PBE) for TmTiPtRh after structural relaxation.

Cell: 6.5654 6.5654 6.5654 Å, 90.00 90.00 90.00°
Closest atoms and distances in Å follow each position.
Space group F-43m (No. 216)
Unique sites:
Tm 0.0000 0.0000 0.0000 (multiplicity 4)  4 Rh 2.84, 4 Pt 2.84
Ti 0.0000 0.0000 0.5000 (multiplicity 4)  4 Pt 2.84, 4 Rh 2.84
Pt 0.2500 0.2500 0.7500 (multiplicity 4)  4 Tm 2.84, 4 Ti 2.84
Rh 0.2500 0.2500 0.2500 (multiplicity 4)  4 Tm 2.84, 4 Ti 2.84

Results
The calculation puts the calculated formation energy at -0.837 eV/atom. The density is 12082 kg/m3.

***

Density functional theory data (GGA-PBE) for Y2TaAs after structural relaxation.

Cell: 4.2451 4.0831 11.1033 Å, 90.00 90.00 90.00°
Closest atoms and distances in Å follow each position.
Space group Amm2 (No. 38)
Unique sites:
Y 0.0000 0.0000 0.0000 (multiplicity 2)  4 As 3.06, 3 Ta 3.13-3.17
Y 0.5000 0.0000 0.2938 (multiplicity 2)  4 Ta 3.06, 3 As 3.13-3.17
Ta 0.0000 0.0000 0.7179 (multiplicity 2)  2 As 2.65
As 0.5000 0.0000 0.5756 (multiplicity 2)  2 Ta 2.65

Results
The calculation puts the calculated formation energy at -0.370 eV/atom. The density is 7484 kg/m3.

***

Density functional theory data (GGA-PBE) for NaZr3Br after structural relaxation.

Cell: 5.0869 5.0869 5.0869 Å, 90.00 90.00 90.00°
Closest atoms and distances in Å follow each position.
Space group Pm-3m (No. 221)
Unique sites:
Na 0.0000 0.0000 0.0000 (multiplicity 1)  12 Zr 3.60
Zr 0.0000 0.5000 0.5000 (multiplicity 3)  2 Br 2.54
Br 0.5000 0.5000 0.5000 (multiplicity 1)  6 Zr 2.54

Results
The density is 4751 kg/m3. The energy relative to the lowest polymorph listed for this composition is 0 meV per atom.

***

Density functional theory data (GGA-PBE) for MgAl2W after structural relaxation.

Cell: 9.3474 2.7676 5.2136 Å, 90.00 96.22 90.00°
Closest atoms and distances in Å follow each position.
Space group C2/m (No. 12)
Unique sites:
Mg 0.0000 0.0000 0.0000 (multiplicity 2)  2 Mg 2.77, 6 Al 2.79-3.01, 4 W 2.95
Al 0.2407 0.0000 0.7276 (multiplicity 4)  4 Al 2.77, 3 Mg 2.79-3.01, 3 W 2.79-2.81
W 0.0000 0.5000 0.5000 (multiplicity 2)  2 W 2.77, 6 Al 2.79-2.81, 4 Mg 2.95

Results
The calculation puts the calculated formation energy at 0.097 eV/atom. The density is 6492 kg/m3.

***

Density functional theory data (GGA-PBE) for AlMo2Se after structural relaxation.

Cell: 2.9686 2.9686 25.2344 Å, 90.00 90.00 120.00°
Closest atoms and distances in Å follow each position.
Space group R-3m (No. 166, hexagonal axes)
Unique sites:
Al 0.0000 0.0000 0.0000 (multiplicity 3)  6 Mo 2.81, 6 Al 2.97
Mo 0.0000 0.0000 0.2452 (multiplicity 6)  3 Se 2.62, 3 Al 2.81
Se 0.0000 0.0000 0.5000 (multiplicity 3)  6 Mo 2.62

Results
The density is 7703 kg/m3. The energy relative to the lowest polymorph listed for this composition is 204 meV per atom.

***

Density functional theory data (GGA-PBE) for Li2Ce2TiO6 after structural relaxation.

Cell: 5.6714 5.6714 14.7321 Å, 90.00 90.00 120.00°
Closest atoms and distances in Å follow each position.
Space group R-3m (No. 166, hexagonal axes)
Unique sites:
Li 0.0000 0.0000 0.0746 (multiplicity 6)  3 O 1.78
Ce 0.0000 0.0000 0.2900 (multiplicity 6)  3 O 2.35
Ti 0.0000 0.0000 0.5000 (multiplicity 3)  6 O 1.97
O 0.0283 0.5141 0.2536 (multiplicity 18)  1 Li 1.78, 1 Ti 1.97

Results
The density is 5317 kg/m3. Its energy is -247.7 eV for the cell shown.

***

What is the formula in the fifth record?
AlMo2Se